Computed, not measured: an optimized crystal structure of TlReHgBr6 at the PBE level of DFT. Values from VASP.

Properties
Formation energy from raw total energies, eV/atom: -0.36
VASP energy, eV per cell: -56.8

Structure (Quantum ESPRESSO input):
```
&SYSTEM
  ibrav = 0, nat = 18, ntyp = 4
/
ATOMIC_SPECIES
Tl 204.38 Tl.upf
Re 186.21 Re.upf
Hg 200.59 Hg.upf
Br 79.90 Br.upf
CELL_PARAMETERS angstrom
7.7772 0.0000 0.0000
-3.8886 6.7353 0.0000
0.0000 0.0000 12.3863
ATOMIC_POSITIONS crystal
Tl 0.3333 0.6667 0.2500
Tl 0.6667 0.3333 0.7500
Re 0.3333 0.6667 0.7500
Re 0.6667 0.3333 0.2500
Hg 0.0000 0.0000 0.0000
Hg 0.0000 0.0000 0.5000
Br 0.0685 0.4056 0.6317
Br 0.0685 0.6629 0.8683
Br 0.3371 0.4056 0.8683
Br 0.3371 0.9315 0.6317
Br 0.4056 0.0685 0.1317
Br 0.4056 0.3371 0.3683
Br 0.5944 0.6629 0.6317
Br 0.5944 0.9315 0.8683
Br 0.6629 0.0685 0.3683
Br 0.6629 0.5944 0.1317
Br 0.9315 0.3371 0.1317
Br 0.9315 0.5944 0.3683
```